Entry 1:
DFT (PBE) results for an optimized crystal structure of K3U3NiSe8.

Cell: 14.0734 8.1397 9.1865 Å, 90.00 120.66 90.00°
Space group C2/m (No. 12)
Symmetry-distinct sites (fractional):
K 0.0000 0.0000 0.0000 x2
K 0.2500 0.2500 0.0000 x4
U 0.0000 0.5000 0.5000 x2
U 0.2500 0.2500 0.5000 x4
Ni 0.0000 0.0000 0.5000 x2
Se 0.0160 0.2401 0.3079 x8
Se 0.2222 0.0000 0.6906 x4
Se 0.2369 0.5000 0.7106 x4

The calculation puts the volume at 905.23 Å³/cell. The energy relative to the elements, uncorrected is -1.05 eV per atom. The size of the total moment is 7.83 μB per formula unit.

Entry 2:
DFT (PBE) results for an optimized crystal structure of NaPt2.

Cell: 2.7210 9.8489 4.4938 Å, 90.00 90.00 90.00°
Space group Pnnm (No. 58)
Symmetry-distinct sites (fractional):
Na 0.0000 0.0000 0.0000 x2
Pt 0.0026 0.2325 0.5000 x4

The calculation puts the volume at 120.43 Å³/cell. Its energy above the most stable polymorph in this dataset is 3.81 kcal/mol of atoms. The size of the total moment is 0.00 μB per formula unit. As for the formation energy: -5.108 kcal/mol of atoms.

Entry 3:
DFT (PBE) results for an optimized crystal structure of KRe2Ni.

Cell: 2.6117 4.0086 7.8809 Å, 90.00 90.00 90.00°
Space group Pmmm (No. 47)
Symmetry-distinct sites (fractional):
K 0.0000 0.0000 0.0000 x1
Re 0.5000 0.5000 0.3524 x2
Ni 0.0000 0.0000 0.5000 x1

The calculation puts the volume at 82.51 Å³/cell. Its energy above the most stable polymorph in this dataset is 6.33 kcal/mol of atoms. The size of the total moment is 0.00 μB per formula unit. As for the formation energy: 22.352 kcal/mol of atoms.

Entry 4:
DFT (PBE) results for an optimized crystal structure of AcTbSnPb.

Cell: 7.9861 7.9861 7.9861 Å, 90.00 90.00 90.00°
Space group F-43m (No. 216)
Symmetry-distinct sites (fractional):
Ac 0.0000 0.0000 0.0000 x4
Tb 0.0000 0.0000 0.5000 x4
Sn 0.2500 0.2500 0.7500 x4
Pb 0.2500 0.2500 0.2500 x4

The calculation puts the volume at 509.33 Å³/cell. The size of the total moment is 0.00 μB per formula unit. As for the formation energy: -10.623 kcal/mol of atoms.

Entry 5:
DFT (PBE) results for an optimized crystal structure of La2TcBr.

Cell: 3.7909 5.9354 9.8459 Å, 90.00 90.00 90.00°
Space group Cmm2 (No. 35)
Symmetry-distinct sites (fractional):
La 0.0000 0.0000 0.0000 x2
La 0.0000 0.5000 0.3547 x2
Tc 0.0000 0.5000 0.8279 x2
Br 0.0000 0.0000 0.5992 x2

The calculation puts the volume at 221.54 Å³/cell. Its energy above the most stable polymorph in this dataset is 18.47 kcal/mol of atoms. The energy relative to the elements, uncorrected is 0.15 eV per atom. The size of the total moment is 0.00 μB per formula unit.

Entry 6:
DFT (PBE) results for an optimized crystal structure of LiScInGa.

Cell: 3.5944 4.5467 4.7583 Å, 90.00 90.00 90.00°
Space group Pmmm (No. 47)
Symmetry-distinct sites (fractional):
Li 0.0000 0.0000 0.0000 x1
Sc 0.0000 0.5000 0.5000 x1
In 0.5000 0.5000 0.0000 x1
Ga 0.5000 0.0000 0.5000 x1

The calculation puts the volume at 77.76 Å³/cell. Its energy above the most stable polymorph in this dataset is 0.00 kcal/mol of atoms. The size of the total moment is 0.00 μB per formula unit. As for the formation energy: -9.602 kcal/mol of atoms.

Entry 7:
DFT (PBE) results for an optimized crystal structure of AlSe3.

Cell: 5.4291 5.4291 5.4291 Å, 90.00 90.00 90.00°
Space group Pm-3n (No. 223)
Symmetry-distinct sites (fractional):
Al 0.0000 0.0000 0.0000 x2
Se 0.0000 0.2500 0.5000 x6

The calculation puts the volume at 160.02 Å³/cell. Its energy above the most stable polymorph in this dataset is 14.81 kcal/mol of atoms. The energy relative to the elements, uncorrected is 0.36 eV per atom. The size of the total moment is 0.00 μB per formula unit.

Entry 8:
DFT (PBE) results for an optimized crystal structure of Rb4Hg2Pt.

Cell: 6.5349 6.5349 17.7395 Å, 90.00 90.00 90.00°
Space group I4/mmm (No. 139)
Symmetry-distinct sites (fractional):
Rb 0.0000 0.0000 0.1811 x4
Rb 0.0000 0.5000 0.0000 x4
Hg 0.0000 0.0000 0.3976 x4
Pt 0.0000 0.0000 0.0000 x2

The calculation puts the volume at 757.56 Å³/cell. The size of the total moment is 0.00 μB per formula unit. As for the formation energy: -0.330 kcal/mol of atoms.